Record 1
The following is a PBE calculation of LaSnP2Br after structural relaxation, from Alexandria via LeMat-Bulk.

```
data_LaSnP2Br
_cell_length_a 4.967
_cell_length_b 4.967
_cell_length_c 6.308
_cell_angle_alpha 90.00
_cell_angle_beta 90.00
_cell_angle_gamma 90.00
_symmetry_space_group_name_H-M 'P 4/m m m'
_symmetry_Int_Tables_number 123
_symmetry_space_group_name_Hall '-P 4 2'
loop_
_atom_site_label
_atom_site_fract_x
_atom_site_fract_y
_atom_site_fract_z
La1 0.000 0.000 0.000
Sn1 0.000 0.000 0.500
P1 0.000 0.500 0.500
Br1 0.500 0.500 0.000
```

Computed properties:
theoretical density	4.26	Mg/m³
formation energy from raw total energies	12	kJ/mol of atoms


Record 2
The following is a PBE calculation of LiTeAs2 after structural relaxation, from Alexandria via LeMat-Bulk.

```
data_LiTeAs2
_cell_length_a 3.757
_cell_length_b 4.005
_cell_length_c 5.832
_cell_angle_alpha 90.00
_cell_angle_beta 90.00
_cell_angle_gamma 90.00
_symmetry_space_group_name_H-M 'P m m m'
_symmetry_Int_Tables_number 47
_symmetry_space_group_name_Hall '-P 2 2'
loop_
_atom_site_label
_atom_site_fract_x
_atom_site_fract_y
_atom_site_fract_z
Li1 0.000 0.000 0.000
Te1 0.000 0.000 0.500
As1 0.500 0.500 0.201
```

Computed properties:
theoretical density	5.38	Mg/m³
formation energy from raw total energies	0	kJ/mol of atoms


Record 3
The following is a PBE calculation of KCeP2Pt4 after structural relaxation, from Alexandria via LeMat-Bulk.

```
data_KCeP2Pt4
_cell_length_a 4.058
_cell_length_b 4.058
_cell_length_c 10.771
_cell_angle_alpha 90.00
_cell_angle_beta 90.00
_cell_angle_gamma 90.00
_symmetry_space_group_name_H-M 'P 4/m m m'
_symmetry_Int_Tables_number 123
_symmetry_space_group_name_Hall '-P 4 2'
loop_
_atom_site_label
_atom_site_fract_x
_atom_site_fract_y
_atom_site_fract_z
K1 0.000 0.000 0.000
Ce1 0.000 0.000 0.500
P1 0.500 0.500 0.183
Pt1 0.000 0.500 0.295
```

Computed properties:
formation energy from the elements	-0.683	eV per atom
theoretical density	9.56	Mg/m³


Record 4
The following is a PBE calculation of AcYCdGe after structural relaxation, from Alexandria via LeMat-Bulk.

```
data_AcYCdGe
_cell_length_a 7.649
_cell_length_b 7.649
_cell_length_c 7.649
_cell_angle_alpha 90.00
_cell_angle_beta 90.00
_cell_angle_gamma 90.00
_symmetry_space_group_name_H-M 'F -4 3 m'
_symmetry_Int_Tables_number 216
_symmetry_space_group_name_Hall 'F -4 2 3'
loop_
_atom_site_label
_atom_site_fract_x
_atom_site_fract_y
_atom_site_fract_z
Ac1 0.000 0.000 0.000
Y1 0.000 0.000 0.500
Cd1 0.250 0.250 0.750
Ge1 0.250 0.250 0.250
```

Computed properties:
formation energy from the elements	-0.414	eV per atom
theoretical density	7.44	Mg/m³


Record 5
The following is a PBE calculation of InSiAsSe2 after structural relaxation, from Alexandria via LeMat-Bulk.

```
data_InSiAsSe2
_cell_length_a 5.287
_cell_length_b 5.287
_cell_length_c 5.241
_cell_angle_alpha 90.00
_cell_angle_beta 90.00
_cell_angle_gamma 90.00
_symmetry_space_group_name_H-M 'P 4/m m m'
_symmetry_Int_Tables_number 123
_symmetry_space_group_name_Hall '-P 4 2'
loop_
_atom_site_label
_atom_site_fract_x
_atom_site_fract_y
_atom_site_fract_z
In1 0.000 0.000 0.000
Si1 0.500 0.500 0.500
As1 0.000 0.000 0.500
Se1 0.000 0.500 0.000
```

Computed properties:
theoretical density	4.26	Mg/m³
formation energy from raw total energies	84	kJ/mol of atoms


Record 6
The following is a PBE calculation of BiAs2BrF after structural relaxation, from Alexandria via LeMat-Bulk.

```
data_BiAs2BrF
_cell_length_a 4.438
_cell_length_b 4.438
_cell_length_c 5.750
_cell_angle_alpha 90.00
_cell_angle_beta 90.00
_cell_angle_gamma 90.00
_symmetry_space_group_name_H-M 'P 4/m m m'
_symmetry_Int_Tables_number 123
_symmetry_space_group_name_Hall '-P 4 2'
loop_
_atom_site_label
_atom_site_fract_x
_atom_site_fract_y
_atom_site_fract_z
Bi1 0.000 0.000 0.000
As1 0.000 0.500 0.500
Br1 0.500 0.500 0.000
F1 0.500 0.500 0.500
```

Computed properties:
theoretical density	6.71	Mg/m³
formation energy from raw total energies	8	kJ/mol of atoms